## La3Tb4Ho5 (PBE)

Data for a relaxed structure of La3Tb4Ho5.

Cell lengths 6.2218, 7.1786, 8.8146 Å; angles 89.79, 89.79, 89.88 degrees
Space group P-1 (No. 2)
Inequivalent atoms, fractional coordinates:
La 0.0000 0.0000 0.0000 [1 per cell]
La 0.1667 0.2513 0.3332 [2 per cell]
Tb 0.1707 0.7490 0.3325 [2 per cell]
Tb 0.3327 0.4990 0.6687 [2 per cell]
Ho 0.0000 0.5000 0.0000 [1 per cell]
Ho 0.3360 0.0002 0.6680 [2 per cell]
Ho 0.4979 0.7482 0.0002 [2 per cell]

- magnetic moment (μB/cell) = 0.00
- DOS(E_F) (states/eV/f.u.) = 17.0
- excess energy over the best structure of this formula in the dataset (eV/atom) = 0.000